TlPt8: relaxed, PBE.

Cell: 4.7864 4.7864 30.1060 Å, 90.13 90.13 48.47°
Fractional coordinates of all 18 atoms:
Tl: 0.0552 0.0552 0.2667
Tl: 0.9448 0.9448 0.7333
Pt: 0.0512 0.0512 0.9551
Pt: 0.1469 0.1469 0.1663
Pt: 0.1518 0.1518 0.8657
Pt: 0.2472 0.2472 0.7760
Pt: 0.2497 0.2497 0.0745
Pt: 0.3500 0.3500 0.9845
Pt: 0.4485 0.4485 0.1973
Pt: 0.4512 0.4512 0.8943
Pt: 0.5488 0.5488 0.1057
Pt: 0.5515 0.5515 0.8027
Pt: 0.6500 0.6500 0.0155
Pt: 0.7503 0.7503 0.9255
Pt: 0.7528 0.7528 0.2240
Pt: 0.8482 0.8482 0.1343
Pt: 0.8531 0.8531 0.8337
Pt: 0.9488 0.9488 0.0449

Computed properties:
total moment: 0.00 Bohr magnetons per cell
total DFT energy (no corrections): -100.85 eV/cell